(1)
The following is a DFT calculation (GGA-PBE) of a relaxed structure of LiSbPd.

abc: 5.8611 4.6356 8.0172
angles: 90.00 90.00 90.00
Closest atoms and distances in Å follow each position.
Space group Pnma (No. 62)
One atom of each set of equivalent atoms:
Li: 0.0000 0.2500 0.2499  2 Li 2.93, 6 Pd 3.03-3.06, 6 Sb 3.05
Sb: 0.2495 0.2500 0.5842  5 Pd 2.67-2.93
Pd: 0.2489 0.2500 0.9180  5 Sb 2.67-2.93

Output
* volume: 18.2 Å³/atom
* formation energy from raw total energies: -568 meV per atom

(2)
The following is a DFT calculation (GGA-PBE) of a relaxed structure of Li2Sb2Pd3.

abc: 4.5403 4.5696 7.2098
angles: 108.00 90.41 119.23
Closest atoms and distances in Å follow each position.
Space group P-1 (No. 2)
One atom of each set of equivalent atoms:
Li: 0.1348 0.2732 0.4071  4 Pd 2.74-3.03, 3 Sb 2.88-2.89, 3 Li 2.89-2.94
Sb: 0.4107 0.8245 0.2335  4 Pd 2.65-2.83, 3 Li 2.88-2.89
Pd: 0.0000 0.0000 0.0000  2 Li 2.74, 6 Pd 2.91-2.93, 2 Sb 3.03
Pd: 0.2709 0.5427 0.8138  4 Sb 2.65-2.83, 1 Li 2.74, 3 Pd 2.91-2.93

Output
* volume: 17.4 Å³/atom
* formation energy from raw total energies: -554 meV per atom